1.
Compound: GeRh2S
Source: the Alexandria database
Functional: SCAN
Structure: single point on PBEsol structure

Properties
uncorrected formation energy: -13 meV/atom
D(E_F): 4.6 states/eV per cell
magnetization: 0.000 μB/atom

a b c (Å): 4.2610 4.2610 4.2610
angles (deg): 60.00 60.00 60.00
Last column: nearest neighbours and their distance in Å.
Positions (direct):
Ge1 0.5000 0.5000 0.5000  8 Rh 2.61
Rh1 0.2500 0.2500 0.2500  4 Ge 2.61, 4 S 2.61
Rh2 0.7500 0.7500 0.7500  4 S 2.61, 4 Ge 2.61
S1 0.0000 0.0000 0.0000  8 Rh 2.61


2.
Compound: Ge2SbRh2
Source: the Alexandria database
Functional: SCAN
Structure: single point on PBEsol structure

Properties
uncorrected formation energy: -290 meV/atom
D(E_F): 2.8 states/eV per cell
magnetization: 0.000 μB/atom

a b c (Å): 3.7645 3.7645 6.5794
angles (deg): 106.62 106.62 90.00
Last column: nearest neighbours and their distance in Å.
Positions (direct):
Sb1 0.0000 0.0000 0.0000  8 Rh 3.02
Ge1 0.2500 0.7500 0.5000  4 Rh 2.46, 4 Ge 2.66
Ge2 0.7500 0.2500 0.5000  4 Rh 2.46, 4 Ge 2.66
Rh1 0.3814 0.3814 0.7628  4 Ge 2.46
Rh2 0.6186 0.6186 0.2372  4 Ge 2.46


3.
Compound: ScGeRh
Source: the Alexandria database
Functional: SCAN
Structure: single point on PBEsol structure

Properties
D(E_F): 3.1 states/eV per cell
magnetization: 0.000 μB/atom
energy of formation: -3.4 eV/f.u.

a b c (Å): 3.7987 6.6201 6.6201
angles (deg): 120.00 90.00 90.00
Last column: nearest neighbours and their distance in Å.
Positions (direct):
Sc1 0.0000 0.0000 0.4188  5 Ge 2.75-2.77, 6 Rh 2.93-3.07
Sc2 0.0000 0.4188 0.0000  5 Ge 2.75-2.77, 6 Rh 2.93-3.07
Sc3 0.0000 0.5812 0.5812  5 Ge 2.75-2.77, 6 Rh 2.93-3.07
Ge1 0.5000 0.6667 0.3333  3 Rh 2.55, 6 Sc 2.75
Ge2 0.0000 0.0000 0.0000  6 Rh 2.50, 3 Sc 2.77
Ge3 0.5000 0.3333 0.6667  3 Rh 2.55, 6 Sc 2.75
Rh1 0.5000 0.2445 0.2445  4 Ge 2.50-2.55
Rh2 0.5000 0.0000 0.7555  4 Ge 2.50-2.55
Rh3 0.5000 0.7555 0.0000  4 Ge 2.50-2.55


4.
Compound: ScGeRh
Source: the Alexandria database
Functional: SCAN
Structure: single point on PBEsol structure

Properties
D(E_F): 4.0 states/eV per cell
magnetization: 0.000 μB/atom
energy of formation: -3.5 eV/f.u.

a b c (Å): 4.1003 6.4622 7.3610
angles (deg): 90.00 90.00 90.00
Last column: nearest neighbours and their distance in Å.
Positions (direct):
Sc1 0.2500 0.5132 0.6948  5 Ge 2.83-2.84, 6 Rh 2.85-3.12
Sc2 0.7500 0.4868 0.3052  5 Ge 2.83-2.84, 6 Rh 2.85-3.12
Sc3 0.2500 0.0132 0.8052  5 Ge 2.83-2.84, 6 Rh 2.85-3.12
Sc4 0.7500 0.9868 0.1948  5 Ge 2.83-2.84, 6 Rh 2.85-3.12
Ge1 0.2500 0.7763 0.3854  4 Rh 2.46-2.51
Ge2 0.7500 0.2237 0.6146  4 Rh 2.46-2.51
Ge3 0.2500 0.2763 0.1146  4 Rh 2.46-2.51
Ge4 0.7500 0.7237 0.8854  4 Rh 2.46-2.51
Rh1 0.2500 0.1565 0.4384  4 Ge 2.46-2.51
Rh2 0.7500 0.8435 0.5616  4 Ge 2.46-2.51
Rh3 0.2500 0.6565 0.0616  4 Ge 2.46-2.51
Rh4 0.7500 0.3435 0.9384  4 Ge 2.46-2.51


5.
Compound: Sc4Ge6Rh7
Source: the Alexandria database
Functional: SCAN
Structure: single point on PBEsol structure

Properties
D(E_F): 7.7 states/eV per cell
magnetization: 0.000 μB/atom
energy of formation: -18.4 eV/f.u.

a b c (Å): 6.9838 6.9838 6.9838
angles (deg): 109.47 109.47 109.47
Last column: nearest neighbours and their distance in Å.
Positions (direct):
Sc1 0.5000 0.0000 0.0000  6 Rh 2.85, 6 Ge 2.90
Sc2 0.0000 0.5000 0.0000  6 Rh 2.85, 6 Ge 2.90
Sc3 0.5000 0.5000 0.5000  6 Rh 2.85, 6 Ge 2.90
Sc4 0.0000 0.0000 0.5000  6 Rh 2.85, 6 Ge 2.90
Ge1 0.6865 0.6865 0.0000  5 Rh 2.52-2.53
Ge2 0.0000 0.3135 0.3135  5 Rh 2.52-2.53
Ge3 0.0000 0.6865 0.6865  5 Rh 2.52-2.53
Ge4 0.3135 0.0000 0.3135  5 Rh 2.52-2.53
Ge5 0.6865 0.0000 0.6865  5 Rh 2.52-2.53
Ge6 0.3135 0.3135 0.0000  5 Rh 2.52-2.53
Rh1 0.2500 0.7500 0.5000  4 Ge 2.52
Rh2 0.5000 0.2500 0.7500  4 Ge 2.52
Rh3 0.5000 0.7500 0.2500  4 Ge 2.52
Rh4 0.7500 0.5000 0.2500  4 Ge 2.52
Rh5 0.2500 0.5000 0.7500  4 Ge 2.52
Rh6 0.7500 0.2500 0.5000  4 Ge 2.52
Rh7 0.0000 0.0000 0.0000  6 Ge 2.53


6.
Compound: Sm3Ge13Rh4
Source: the Alexandria database
Functional: SCAN
Structure: single point on PBEsol structure

Properties
D(E_F): 11.5 states/eV per cell
magnetization: 0.000 μB/atom
energy of formation: -12.8 eV/f.u.

a b c (Å): 8.9441 8.9441 8.9441
angles (deg): 90.00 90.00 90.00
Last column: nearest neighbours and their distance in Å.
Positions (direct):
Sm1 0.0000 0.5000 0.7500  12 Ge 3.12-3.20, 4 Rh 3.16
Sm2 0.5000 0.2500 0.0000  12 Ge 3.12-3.20, 4 Rh 3.16
Sm3 0.7500 0.0000 0.5000  12 Ge 3.12-3.20, 4 Rh 3.16
Sm4 0.0000 0.5000 0.2500  12 Ge 3.12-3.20, 4 Rh 3.16
Sm5 0.5000 0.7500 0.0000  12 Ge 3.12-3.20, 4 Rh 3.16
Sm6 0.2500 0.0000 0.5000  12 Ge 3.12-3.20, 4 Rh 3.16
Ge1 0.5000 0.5000 0.5000  12 Ge 3.04
Ge2 0.0000 0.0000 0.0000  12 Ge 3.04
Ge3 0.8066 0.3529 0.5000  2 Rh 2.47, 1 Ge 2.63
Ge4 0.6471 0.5000 0.8066  2 Rh 2.47, 1 Ge 2.63
Ge5 0.5000 0.1934 0.6471  2 Rh 2.47, 1 Ge 2.63
Ge6 0.1934 0.6471 0.5000  2 Rh 2.47, 1 Ge 2.63
Ge7 0.3529 0.5000 0.1934  2 Rh 2.47, 1 Ge 2.63
Ge8 0.5000 0.8066 0.3529  2 Rh 2.47, 1 Ge 2.63
Ge9 0.8066 0.6471 0.5000  2 Rh 2.47, 1 Ge 2.63
Ge10 0.6471 0.5000 0.1934  2 Rh 2.47, 1 Ge 2.63
Ge11 0.1934 0.3529 0.5000  2 Rh 2.47, 1 Ge 2.63
Ge12 0.3529 0.5000 0.8066  2 Rh 2.47, 1 Ge 2.63
Ge13 0.5000 0.8066 0.6471  2 Rh 2.47, 1 Ge 2.63
Ge14 0.5000 0.1934 0.3529  2 Rh 2.47, 1 Ge 2.63
Ge15 0.3066 0.0000 0.8529  2 Rh 2.47, 1 Ge 2.63
Ge16 0.1471 0.3066 0.0000  2 Rh 2.47, 1 Ge 2.63
Ge17 0.0000 0.1471 0.6934  2 Rh 2.47, 1 Ge 2.63
Ge18 0.6934 0.0000 0.1471  2 Rh 2.47, 1 Ge 2.63
Ge19 0.8529 0.6934 0.0000  2 Rh 2.47, 1 Ge 2.63
Ge20 0.0000 0.8529 0.3066  2 Rh 2.47, 1 Ge 2.63
Ge21 0.3066 0.0000 0.1471  2 Rh 2.47, 1 Ge 2.63
Ge22 0.1471 0.6934 0.0000  2 Rh 2.47, 1 Ge 2.63
Ge23 0.6934 0.0000 0.8529  2 Rh 2.47, 1 Ge 2.63
Ge24 0.8529 0.3066 0.0000  2 Rh 2.47, 1 Ge 2.63
Ge25 0.0000 0.1471 0.3066  2 Rh 2.47, 1 Ge 2.63
Ge26 0.0000 0.8529 0.6934  2 Rh 2.47, 1 Ge 2.63
Rh1 0.7500 0.2500 0.7500  6 Ge 2.47
Rh2 0.2500 0.7500 0.2500  6 Ge 2.47
Rh3 0.7500 0.7500 0.2500  6 Ge 2.47
Rh4 0.2500 0.2500 0.7500  6 Ge 2.47
Rh5 0.2500 0.7500 0.7500  6 Ge 2.47
Rh6 0.7500 0.2500 0.2500  6 Ge 2.47
Rh7 0.2500 0.2500 0.2500  6 Ge 2.47
Rh8 0.7500 0.7500 0.7500  6 Ge 2.47


7.
Compound: Sr3GeRh
Source: the Alexandria database
Functional: SCAN
Structure: single point on PBEsol structure

Properties
D(E_F): 6.9 states/eV per cell
magnetization: 0.208 μB/atom
energy of formation: 1.7 eV/f.u.

a b c (Å): 5.7828 5.7828 5.7828
angles (deg): 90.00 90.00 90.00
Last column: nearest neighbours and their distance in Å.
Positions (direct):
Sr1 0.0000 0.5000 0.0000  2 Ge 2.89
Sr2 0.0000 0.0000 0.5000  2 Ge 2.89
Sr3 0.5000 0.0000 0.0000  2 Ge 2.89
Ge1 0.0000 0.0000 0.0000  6 Sr 2.89
Rh1 0.5000 0.5000 0.5000  12 Sr 4.09


8.
Compound: Tb3Ge13Rh4
Source: the Alexandria database
Functional: SCAN
Structure: single point on PBEsol structure

Properties
D(E_F): 11.4 states/eV per cell
magnetization: 0.000 μB/atom
energy of formation: -12.8 eV/f.u.

a b c (Å): 8.8933 8.8933 8.8933
angles (deg): 90.00 90.00 90.00
Last column: nearest neighbours and their distance in Å.
Positions (direct):
Tb1 0.0000 0.5000 0.7500  12 Ge 3.09-3.18, 4 Rh 3.14
Tb2 0.5000 0.2500 0.0000  12 Ge 3.09-3.18, 4 Rh 3.14
Tb3 0.7500 0.0000 0.5000  12 Ge 3.09-3.18, 4 Rh 3.14
Tb4 0.0000 0.5000 0.2500  12 Ge 3.09-3.18, 4 Rh 3.14
Tb5 0.5000 0.7500 0.0000  12 Ge 3.09-3.18, 4 Rh 3.14
Tb6 0.2500 0.0000 0.5000  12 Ge 3.09-3.18, 4 Rh 3.14
Ge1 0.5000 0.5000 0.5000  12 Ge 3.04
Ge2 0.0000 0.0000 0.0000  12 Ge 3.04
Ge3 0.8091 0.3531 0.5000  2 Rh 2.46, 1 Ge 2.61
Ge4 0.6469 0.5000 0.8091  2 Rh 2.46, 1 Ge 2.61
Ge5 0.5000 0.1909 0.6469  2 Rh 2.46, 1 Ge 2.61
Ge6 0.1909 0.6469 0.5000  2 Rh 2.46, 1 Ge 2.61
Ge7 0.3531 0.5000 0.1909  2 Rh 2.46, 1 Ge 2.61
Ge8 0.5000 0.8091 0.3531  2 Rh 2.46, 1 Ge 2.61
Ge9 0.8091 0.6469 0.5000  2 Rh 2.46, 1 Ge 2.61
Ge10 0.6469 0.5000 0.1909  2 Rh 2.46, 1 Ge 2.61
Ge11 0.1909 0.3531 0.5000  2 Rh 2.46, 1 Ge 2.61
Ge12 0.3531 0.5000 0.8091  2 Rh 2.46, 1 Ge 2.61
Ge13 0.5000 0.8091 0.6469  2 Rh 2.46, 1 Ge 2.61
Ge14 0.5000 0.1909 0.3531  2 Rh 2.46, 1 Ge 2.61
Ge15 0.3091 0.0000 0.8531  2 Rh 2.46, 1 Ge 2.61
Ge16 0.1469 0.3091 0.0000  2 Rh 2.46, 1 Ge 2.61
Ge17 0.0000 0.1469 0.6909  2 Rh 2.46, 1 Ge 2.61
Ge18 0.6909 0.0000 0.1469  2 Rh 2.46, 1 Ge 2.61
Ge19 0.8531 0.6909 0.0000  2 Rh 2.46, 1 Ge 2.61
Ge20 0.0000 0.8531 0.3091  2 Rh 2.46, 1 Ge 2.61
Ge21 0.3091 0.0000 0.1469  2 Rh 2.46, 1 Ge 2.61
Ge22 0.1469 0.6909 0.0000  2 Rh 2.46, 1 Ge 2.61
Ge23 0.6909 0.0000 0.8531  2 Rh 2.46, 1 Ge 2.61
Ge24 0.8531 0.3091 0.0000  2 Rh 2.46, 1 Ge 2.61
Ge25 0.0000 0.1469 0.3091  2 Rh 2.46, 1 Ge 2.61
Ge26 0.0000 0.8531 0.6909  2 Rh 2.46, 1 Ge 2.61
Rh1 0.7500 0.2500 0.7500  6 Ge 2.46
Rh2 0.2500 0.7500 0.2500  6 Ge 2.46
Rh3 0.7500 0.7500 0.2500  6 Ge 2.46
Rh4 0.2500 0.2500 0.7500  6 Ge 2.46
Rh5 0.2500 0.7500 0.7500  6 Ge 2.46
Rh6 0.7500 0.2500 0.2500  6 Ge 2.46
Rh7 0.2500 0.2500 0.2500  6 Ge 2.46
Rh8 0.7500 0.7500 0.7500  6 Ge 2.46


9.
Compound: Tb3Ge2Rh2
Source: the Alexandria database
Functional: SCAN
Structure: single point on PBEsol structure

Properties
D(E_F): 16.5 states/eV per cell
magnetization: 0.000 μB/atom
energy of formation: -7.4 eV/f.u.

a b c (Å): 5.5202 7.7169 13.1064
angles (deg): 90.00 90.00 90.00
Last column: nearest neighbours and their distance in Å.
Positions (direct):
Tb1 0.6309 0.2596 0.2500  5 Ge 2.98-3.28, 4 Rh 3.01
Tb2 0.3691 0.7404 0.7500  5 Ge 2.98-3.28, 4 Rh 3.01
Tb3 0.3691 0.7596 0.2500  5 Ge 2.98-3.28, 4 Rh 3.01
Tb4 0.6309 0.2404 0.7500  5 Ge 2.98-3.28, 4 Rh 3.01
Tb5 0.1451 0.3957 0.0997  4 Rh 2.86-3.09, 3 Ge 2.95-3.17
Tb6 0.8549 0.6043 0.9003  4 Rh 2.86-3.09, 3 Ge 2.95-3.17
Tb7 0.8549 0.6043 0.5997  4 Rh 2.86-3.09, 3 Ge 2.95-3.17
Tb8 0.8549 0.8957 0.4003  4 Rh 2.86-3.09, 3 Ge 2.95-3.17
Tb9 0.1451 0.3957 0.4003  4 Rh 2.86-3.09, 3 Ge 2.95-3.17
Tb10 0.1451 0.1043 0.5997  4 Rh 2.86-3.09, 3 Ge 2.95-3.17
Tb11 0.1451 0.1043 0.9003  4 Rh 2.86-3.09, 3 Ge 2.95-3.17
Tb12 0.8549 0.8957 0.0997  4 Rh 2.86-3.09, 3 Ge 2.95-3.17
Ge1 0.1304 0.1116 0.2500  2 Rh 2.53
Ge2 0.8696 0.8884 0.7500  2 Rh 2.53
Ge3 0.8696 0.6116 0.2500  2 Rh 2.53
Ge4 0.1304 0.3884 0.7500  2 Rh 2.53
Ge5 0.6633 0.2500 0.0000  4 Rh 2.56-2.57
Ge6 0.3367 0.7500 0.0000  4 Rh 2.56-2.57
Ge7 0.3367 0.7500 0.5000  4 Rh 2.56-2.57
Ge8 0.6633 0.2500 0.5000  4 Rh 2.56-2.57
Rh1 0.3746 0.0427 0.0922  3 Ge 2.53-2.57
Rh2 0.6254 0.9573 0.9078  3 Ge 2.53-2.57
Rh3 0.6254 0.9573 0.5922  3 Ge 2.53-2.57
Rh4 0.6254 0.5427 0.4078  3 Ge 2.53-2.57
Rh5 0.3746 0.0427 0.4078  3 Ge 2.53-2.57
Rh6 0.3746 0.4573 0.5922  3 Ge 2.53-2.57
Rh7 0.3746 0.4573 0.9078  3 Ge 2.53-2.57
Rh8 0.6254 0.5427 0.0922  3 Ge 2.53-2.57


10.
Compound: TbGeRh
Source: the Alexandria database
Functional: SCAN
Structure: single point on PBEsol structure

Properties
D(E_F): 5.4 states/eV per cell
magnetization: 0.000 μB/atom
energy of formation: -3.4 eV/f.u.

a b c (Å): 4.2856 6.8828 7.4126
angles (deg): 90.00 90.00 90.00
Last column: nearest neighbours and their distance in Å.
Positions (direct):
Tb1 0.7500 0.5016 0.6932  4 Rh 2.97-3.06, 5 Ge 2.99-3.00
Tb2 0.7500 0.0016 0.8068  4 Rh 2.97-3.06, 5 Ge 2.99-3.00
Tb3 0.2500 0.4984 0.3068  4 Rh 2.97-3.06, 5 Ge 2.99-3.00
Tb4 0.2500 0.9984 0.1932  4 Rh 2.97-3.06, 5 Ge 2.99-3.00
Ge1 0.7500 0.2088 0.3953  4 Rh 2.52-2.59
Ge2 0.7500 0.7088 0.1047  4 Rh 2.52-2.59
Ge3 0.2500 0.7912 0.6047  4 Rh 2.52-2.59
Ge4 0.2500 0.2912 0.8953  4 Rh 2.52-2.59
Rh1 0.7500 0.8440 0.4307  4 Ge 2.52-2.59
Rh2 0.7500 0.3440 0.0693  4 Ge 2.52-2.59
Rh3 0.2500 0.1560 0.5693  4 Ge 2.52-2.59
Rh4 0.2500 0.6560 0.9307  4 Ge 2.52-2.59


> magnetization of number 7 (Sr3GeRh)?

0.208 μB/atom